12
Lattice="3.740 0.000 0.000 0.000 3.740 0.000 0.000 0.000 11.351" Properties=species:S:1:pos:R:3 comment="PBE ZnCu9Au2, optimized geometry" energy_ev_per_atom=-3.767 total_magnetization_mub_per_cell=0.00 crystal_system=tetragonal spacegroup="P4/mmm, No. 123" pbc="T T T"
Zn 0.000 0.000 0.000
Cu 0.000 1.870 1.805
Cu 0.000 1.870 5.675
Cu 0.000 1.870 9.546
Cu 1.870 0.000 1.805
Cu 1.870 0.000 5.675
Cu 1.870 0.000 9.546
Cu 1.870 1.870 0.000
Cu 1.870 1.870 3.730
Cu 1.870 1.870 7.621
Au 0.000 0.000 3.754
Au 0.000 0.000 7.596